Record 1
The following is a DFT calculation (GGA-PBE) of a relaxed structure of FeCu2Ag.

Values from the calculation:
The value obtained for the calculated volume is 54.66 Å³ per cell. The energy above the lowest structure with this stoichiometry comes out at 139.5 meV/atom. Its magnetization is 2.8 μB/f.u. The value obtained for the energy of formation from the pure elements is 0.309 eV per atom. The calculation puts the density of states at the Fermi level at 1.8 states/eV/f.u. Its crystal system is cubic. For the total energy, the calculation gives -4.568 eV per atom.

```
4
Lattice="4.260 0.000 0.000 2.130 3.689 0.000 2.130 1.230 3.478" Properties=species:S:1:pos:R:3 pbc="T T T"
Fe 6.390 3.689 2.609
Ag 4.260 2.459 1.739
Cu 0.000 0.000 0.000
Cu 2.130 1.230 0.870
```

---

Record 2
The following is a DFT calculation (GGA-PBE) of a relaxed structure of PmPr5Sm2.

Values from the calculation:
The value obtained for the calculated volume is 568.88 Å³ per cell. The energy above the lowest structure with this stoichiometry comes out at 175.4 meV/atom. Its magnetization is 0.0 μB/f.u. The value obtained for the energy of formation from the pure elements is 0.189 eV per atom. The calculation puts the density of states at the Fermi level at 14.0 states/eV/f.u. Its crystal system is monoclinic. For the total energy, the calculation gives -4.572 eV per atom.

```
16
Lattice="7.793 -0.590 6.046 -1.282 7.709 6.046 1.972 2.157 13.253" Properties=species:S:1:pos:R:3 pbc="T T T"
Pr 4.803 5.115 15.985
Sm 3.896 -0.295 3.023
Pr 8.888 0.813 14.313
Pr -0.405 8.463 11.031
Pr 3.880 8.971 18.867
Pr 4.603 0.305 6.477
Pr 9.452 1.429 17.658
Pr 7.603 3.586 12.240
Pm 2.368 7.342 15.985
Sm 0.345 4.933 9.649
Pm 6.116 1.934 9.359
Pr -0.968 7.847 7.687
Pr 3.680 4.161 9.359
Pr 0.880 5.691 13.104
Sm 4.242 4.638 12.672
Sm 3.255 3.560 6.046
```

---

Record 3
The following is a DFT calculation (GGA-PBE) of a relaxed structure of Ac2HfS5.

Values from the calculation:
The value obtained for the calculated volume is 751.15 Å³ per cell. The uncorrected formation energy comes out at -1.979 eV/atom. The energy above the lowest structure with this stoichiometry comes out at 0.0 meV/atom. Its magnetization is 0.0 μB/f.u. Its crystal system is orthorhombic. For the total energy, the calculation gives -6.830 eV per atom.

```
32
Lattice="7.571 0.000 0.000 0.000 8.454 0.000 0.000 0.000 11.737" Properties=species:S:1:pos:R:3 pbc="T T T"
S 4.746 2.113 8.114
Ac 4.301 4.203 1.989
Ac 0.516 8.430 3.879
Hf 0.526 2.113 0.106
S 1.114 2.113 9.352
S 2.671 2.113 3.483
S 4.308 6.340 11.652
S 6.230 3.955 10.963
S 1.341 8.182 0.774
Ac 7.054 0.024 7.858
Ac 3.269 4.251 9.748
S 0.961 6.340 9.492
Ac 7.054 4.203 7.858
S 1.341 4.499 0.774
S 3.262 2.113 0.084
S 7.047 6.340 5.784
S 6.456 6.340 2.385
Hf 7.045 6.340 11.631
S 5.126 0.272 5.094
S 5.126 3.955 5.094
S 2.824 6.340 3.623
Hf 4.311 6.340 5.763
Ac 4.301 0.024 1.989
S 2.445 8.182 6.643
Ac 3.269 8.430 9.748
S 4.900 6.340 8.254
S 2.445 4.499 6.643
Hf 3.260 2.113 5.974
S 6.610 2.113 2.245
Ac 0.516 4.251 3.879
S 6.230 0.272 10.963
S 0.523 2.113 5.953
```

---

Record 4
The following is a DFT calculation (GGA-PBE) of a relaxed structure of PrNd4Y.

Values from the calculation:
The value obtained for the calculated volume is 214.13 Å³ per cell. The energy above the lowest structure with this stoichiometry comes out at 358.3 meV/atom. Its magnetization is 1.8 μB/f.u. The value obtained for the energy of formation from the pure elements is 0.370 eV per atom. The calculation puts the density of states at the Fermi level at 14.6 states/eV/f.u. Its crystal system is trigonal. For the total energy, the calculation gives -4.682 eV per atom.

```
6
Lattice="7.021 -3.014 -0.145 7.021 3.014 -0.145 5.832 0.000 4.939" Properties=species:S:1:pos:R:3 pbc="T T T"
Nd 16.574 0.000 3.877
Nd 6.620 0.000 1.549
Nd 3.301 0.000 0.772
Pr 9.937 0.000 2.325
Nd 13.254 0.000 3.101
Y 0.000 0.000 0.000
```

---

Record 5
The following is a DFT calculation (GGA-PBE) of a relaxed structure of CoIr12Ru3.

Values from the calculation:
The value obtained for the calculated volume is 226.93 Å³ per cell. Its magnetization is 0.0 μB/f.u. The value obtained for the energy of formation from the pure elements is -0.022 eV per atom. The calculation puts the density of states at the Fermi level at 13.7 states/eV/f.u. Its crystal system is tetragonal. For the total energy, the calculation gives -8.851 eV per atom.

```
16
Lattice="3.841 0.000 0.000 0.000 3.841 0.000 0.000 0.000 15.378" Properties=species:S:1:pos:R:3 pbc="T T T"
Ir 1.921 0.000 5.756
Ir 0.000 1.921 13.485
Ir 1.921 1.921 7.689
Ir 1.921 1.921 11.545
Co 0.000 0.000 0.000
Ir 1.921 0.000 9.622
Ru 0.000 0.000 11.600
Ir 0.000 1.921 5.756
Ir 0.000 1.921 9.622
Ir 1.921 0.000 1.893
Ir 1.921 1.921 0.000
Ir 1.921 1.921 3.833
Ru 0.000 0.000 3.778
Ir 1.921 0.000 13.485
Ir 0.000 1.921 1.893
Ru 0.000 0.000 7.689
```

---

Record 6
The following is a DFT calculation (GGA-PBE) of a relaxed structure of Na2CaAl2.

Values from the calculation:
The value obtained for the calculated volume is 258.02 Å³ per cell. The energy above the lowest structure with this stoichiometry comes out at 90.2 meV/atom. Its magnetization is 0.0 μB/f.u. The value obtained for the energy of formation from the pure elements is 0.194 eV per atom. The calculation puts the density of states at the Fermi level at 2.3 states/eV/f.u. Its crystal system is tetragonal. For the total energy, the calculation gives -2.231 eV per atom.

```
10
Lattice="8.708 0.000 0.000 0.000 8.708 0.000 0.000 0.000 3.403" Properties=species:S:1:pos:R:3 pbc="T T T"
Al 7.132 2.778 1.701
Na 7.673 5.388 0.000
Ca 4.354 4.354 0.000
Na 3.319 7.673 0.000
Al 2.778 1.576 1.701
Al 5.930 7.132 1.701
Na 5.388 1.034 0.000
Ca 0.000 0.000 0.000
Na 1.034 3.319 0.000
Al 1.576 5.930 1.701
```

---

Record 7
The following is a DFT calculation (GGA-PBE) of a relaxed structure of InCuRh2.

Values from the calculation:
The value obtained for the calculated volume is 61.33 Å³ per cell. Its magnetization is 0.0 μB/f.u. The value obtained for the energy of formation from the pure elements is -0.043 eV per atom. The calculation puts the density of states at the Fermi level at 4.6 states/eV/f.u. Its crystal system is monoclinic. For the total energy, the calculation gives -5.427 eV per atom.

```
4
Lattice="-3.259 1.378 -1.348 0.356 -1.516 -2.411 -2.426 -5.863 -0.127" Properties=species:S:1:pos:R:3 pbc="T T T"
In -3.179 -4.843 -2.582
Cu -0.976 -3.596 -1.316
Rh -2.176 -1.199 -1.282
Rh 0.322 -1.571 -2.385
```

---

Record 8
The following is a DFT calculation (GGA-PBE) of a relaxed structure of La2NdEr3As6.

Values from the calculation:
The value obtained for the calculated volume is 317.27 Å³ per cell. Its magnetization is 0.0 μB/f.u. The value obtained for the energy of formation from the pure elements is -1.523 eV per atom. The calculation puts the density of states at the Fermi level at 1.7 states/eV/f.u. Its crystal system is monoclinic. For the total energy, the calculation gives -6.207 eV per atom.

```
12
Lattice="-4.217 -0.054 0.018 0.031 -4.742 -6.957 2.217 -6.180 6.747" Properties=species:S:1:pos:R:3 pbc="T T T"
As 0.086 -6.117 1.714
Er -2.031 -4.955 3.358
As -2.069 -2.475 1.780
La -2.015 -7.339 -0.125
Er 0.062 -6.021 -3.549
As -1.993 -7.402 4.938
La 0.046 -3.637 -0.066
As -2.055 -4.859 -1.906
Nd -2.108 -0.027 0.009
As 0.100 -8.501 -1.972
Er -2.093 -2.398 -3.470
As 0.024 -3.575 -5.129
```

---

- Among the records above, which one has the highest calculated volume?
  Ac2HfS5